Density functional theory data (PBE) for a geometry-optimized TbNbS2 structure.

abc: 3.4758 3.4758 25.6095
angles: 90.00 90.00 120.00
Space group R-3m (No. 166, hexagonal axes)
Symmetry-distinct sites (fractional):
Tb (0.0000, 0.0000, 0.0000) x3
Nb (0.0000, 0.0000, 0.5000) x3
S (0.0000, 0.0000, 0.1063) x6

DOS at the Fermi energy ... 9.0 states/eV per cell
Uncorrected formation energy ... -0.8655 eV per atom